# Y2PtBr | the Alexandria database | PBE-GGA | optimized geometry
data_Y2PtBr
_chemical_formula_sum 'Y2 Pt1 Br1'
_space_group_name_H-M_alt 'P m m m'
_space_group_IT_number 47
_cell_length_a 3.5140
_cell_length_b 3.6232
_cell_length_c 8.2421
_cell_angle_alpha 90.00
_cell_angle_beta 90.00
_cell_angle_gamma 90.00
loop_
_space_group_symop_operation_xyz
'x,y,z'
'-x,-y,-z'
'-x,-y,z'
'x,y,-z'
'x,-y,-z'
'-x,y,z'
'-x,y,-z'
'x,-y,z'
loop_
_atom_site_label
_atom_site_type_symbol
_atom_site_fract_x
_atom_site_fract_y
_atom_site_fract_z
Y1 Y 0.0000 0.0000 0.1990
Pt1 Pt 0.5000 0.5000 0.0000
Br1 Br 0.5000 0.0000 0.5000
# offset from the most stable computed form = 2.94 kcal/mol of atoms
# raw formation energy = -107.9 kJ per mole of atoms
# DFT total energy = -25.1 eV for the cell shown